Record 1
First-principles (GGA-PBE) data for a relaxed MgZrReBi crystal, as listed in OQMD.

Summary:
- Volume: 20.12 A^3/atom
- Calculated total energy: -6.30 eV/atom

Lattice parameters (Å, degrees): 6.8537 6.8537 6.8537 90.00 90.00 90.00
With the nearest neighbours (Å) after each atom.
Space group F-43m (No. 216)
Asymmetric unit:
Mg  0.0000  0.0000  0.0000 (multiplicity 4)  4 Re 2.97, 4 Bi 2.97
Zr  0.0000  0.0000  0.5000 (multiplicity 4)  4 Re 2.97, 4 Bi 2.97
Re  0.2500  0.2500  0.2500 (multiplicity 4)  4 Zr 2.97, 4 Mg 2.97
Bi  0.2500  0.2500  0.7500 (multiplicity 4)  4 Zr 2.97, 4 Mg 2.97

***

Record 2
First-principles (GGA-PBE) data for a relaxed TaHgB crystal, as listed in OQMD.

Summary:
- Volume: 18.56 A^3/atom
- Calculated total energy: -4.92 eV/atom

Lattice parameters (Å, degrees): 6.0619 6.0619 6.0619 90.00 90.00 90.00
With the nearest neighbours (Å) after each atom.
Space group F-43m (No. 216)
Asymmetric unit:
Ta  0.0000  0.0000  0.0000 (multiplicity 4)  4 Hg 2.62, 4 B 2.62
Hg  0.2500  0.2500  0.2500 (multiplicity 4)  4 Ta 2.62
B  0.2500  0.2500  0.7500 (multiplicity 4)  4 Ta 2.62